# 1
This record from Alexandria via LeMat-Bulk describes a relaxed structure of LaZrBr3. The functional is GGA-PBEsol.

The space group is Pm-3m (No. 221) and the conventional cell measures 5.726, 5.726 and 5.726 Å, with angles of 90.00, 90.00 and 90.00 degrees. The asymmetric unit holds La at (0.000, 0.000, 0.000), Zr at (0.500, 0.500, 0.500) and Br at (0.000, 0.000, 0.500).

For the formation energy without anion corrections, the calculation gives -160 kJ/mol of formula units.

=====

# 2
This record from Alexandria via LeMat-Bulk describes a relaxed structure of K2NaCeF6. The functional is GGA-PBEsol.

The space group is Fm-3m (No. 225) and the conventional cell measures 8.953, 8.953 and 8.953 Å, with angles of 90.00, 90.00 and 90.00 degrees. The asymmetric unit holds K at (0.250, 0.250, 0.250), Na at (0.000, 0.000, 0.000), Ce at (0.000, 0.000, 0.500) and F at (0.000, 0.000, 0.249).

For the formation energy without anion corrections, the calculation gives -3059 kJ/mol of formula units.

=====

# 3
This record from Alexandria via LeMat-Bulk describes a relaxed structure of CdTeCl2. The functional is GGA-PBEsol.

The space group is I4/mmm (No. 139) and the conventional cell measures 4.473, 4.473 and 8.941 Å, with angles of 90.00, 90.00 and 90.00 degrees. The asymmetric unit holds Cd at (0.000, 0.000, 0.000), Te at (0.000, 0.000, 0.500) and Cl at (0.000, 0.500, 0.250).

For the formation energy without anion corrections, the calculation gives -3 kJ/mol of formula units. Its energy above the most stable polymorph in this dataset is 0.2221 eV/atom.